Entry from Alexandria: a relaxed structure of CuMoAs (GGA-PBEsol).

Values from the calculation:
The value obtained for the formation energy is 8.11 kcal/mol of atoms. The value obtained for the total energy is -0.494 Ry/atom. Its calculated density is 8572 kg/m³.

abc: 3.3330 4.3039 12.6615
angles: 90.00 90.00 90.00
Space group Fmm2 (No. 42)
One atom of each set of equivalent atoms:
Cu  0.0000  0.0000  0.0000
Mo  0.0000  0.0000  0.6556
As  0.0000  0.0000  0.3154

Entry from Alexandria: a relaxed structure of TlSbN2O (GGA-PBEsol).

Values from the calculation:
The value obtained for the total energy is -0.332 Ry/atom. The energy relative to the elements, uncorrected comes out at 1.38 eV/atom. Its calculated density is 8416 kg/m³.

abc: 4.1987 4.1987 4.1430
angles: 90.00 90.00 90.00
Space group P4/mmm (No. 123)
One atom of each set of equivalent atoms:
Tl  0.0000  0.0000  0.0000
Sb  0.5000  0.5000  0.5000
N  0.0000  0.5000  0.0000
O  0.0000  0.0000  0.5000

Entry from Alexandria: a relaxed structure of AlZnMo2 (GGA-PBEsol).

Values from the calculation:
The value obtained for the formation energy is 3.96 kcal/mol of atoms. The value obtained for the total energy is -0.524 Ry/atom. Its calculated density is 7895 kg/m³.

abc: 2.6611 4.0538 5.5420
angles: 90.00 90.00 90.00
Space group Pmm2 (No. 25)
One atom of each set of equivalent atoms:
Al  0.0000  0.0000  0.0000
Zn  0.5000  0.5000  0.7644
Mo  0.0000  0.0000  0.5026
Mo  0.5000  0.5000  0.2629

Entry from Alexandria: a relaxed structure of RuRh2Au (GGA-PBEsol).

Values from the calculation:
The value obtained for the formation energy is 6.58 kcal/mol of atoms. The value obtained for the total energy is -0.537 Ry/atom. Its calculated density is 14706 kg/m³.

abc: 3.8538 3.8538 3.8309
angles: 90.00 90.00 90.00
Space group P4/mmm (No. 123)
One atom of each set of equivalent atoms:
Ru  0.0000  0.0000  0.0000
Rh  0.0000  0.5000  0.5000
Au  0.5000  0.5000  0.0000